# 1
Material: Hf3PAu
Method: DFT, GGA-PBE
State: relaxed

Unit cell a=4.763 b=4.763 c=4.763 alpha=90.00 beta=90.00 gamma=90.00
Space group Pm-3m (No. 221)
Unique sites:
Hf1 0.000 0.000 0.500 [3 per cell]
P1 0.000 0.000 0.000 [1 per cell]
Au1 0.500 0.500 0.500 [1 per cell]

Calculated values
- Excess energy over the best structure of this formula in the dataset: 0.414 eV per atom
- Energy relative to the elements: -0.28 eV per atom
- Total magnetization: 0.00 μB per cell

# 2
Material: Hf2P2Au
Method: DFT, GGA-PBE
State: relaxed

Unit cell a=3.470 b=3.470 c=14.737 alpha=90.00 beta=90.00 gamma=90.00
Space group I4/mmm (No. 139)
Unique sites:
Hf1 0.000 0.000 0.114 [4 per cell]
P1 0.000 0.500 0.250 [4 per cell]
Au1 0.000 0.000 0.500 [2 per cell]

Calculated values
- Excess energy over the best structure of this formula in the dataset: 0.142 eV per atom
- Energy relative to the elements: -0.65 eV per atom
- Total magnetization: 0.00 μB per cell

# 3
Material: Hf2PAu2
Method: DFT, GGA-PBE
State: relaxed

Unit cell a=6.876 b=6.876 c=4.258 alpha=90.00 beta=90.00 gamma=90.00
Space group P4/mbm (No. 127)
Unique sites:
Hf1 0.166 0.334 0.000 [4 per cell]
P1 0.000 0.000 0.000 [2 per cell]
Au1 0.141 0.641 0.500 [4 per cell]

Calculated values
- Energy relative to the elements: -0.53 eV per atom
- Total magnetization: 0.00 μB per cell

# 4
Material: Hf2P2Au
Method: DFT, GGA-PBE
State: relaxed

Unit cell a=7.181 b=7.181 c=3.355 alpha=90.00 beta=90.00 gamma=90.00
Space group P4/mbm (No. 127)
Unique sites:
Hf1 0.152 0.348 0.000 [4 per cell]
P1 0.144 0.644 0.500 [4 per cell]
Au1 0.000 0.000 0.500 [2 per cell]

Calculated values
- Excess energy over the best structure of this formula in the dataset: 0.000 eV per atom
- Energy relative to the elements: -0.79 eV per atom
- Total magnetization: 0.00 μB per cell

# 5
Material: HfPPb2Au
Method: DFT, GGA-PBE
State: relaxed

Unit cell a=5.834 b=5.834 c=4.856 alpha=90.00 beta=90.00 gamma=90.00
Space group P4/mmm (No. 123)
Unique sites:
Hf1 0.000 0.000 0.000 [1 per cell]
P1 0.000 0.000 0.500 [1 per cell]
Pb1 0.000 0.500 0.000 [2 per cell]
Au1 0.500 0.500 0.500 [1 per cell]

Calculated values
- Energy relative to the elements: 0.46 eV per atom
- Total magnetization: 0.00 μB per cell

# 6
Material: HfPPdAu2
Method: DFT, GGA-PBE
State: relaxed

Unit cell a=5.151 b=5.151 c=4.870 alpha=90.00 beta=90.00 gamma=90.00
Space group P4/mmm (No. 123)
Unique sites:
Hf1 0.000 0.000 0.000 [1 per cell]
P1 0.500 0.500 0.500 [1 per cell]
Pd1 0.000 0.000 0.500 [1 per cell]
Au1 0.000 0.500 0.000 [2 per cell]

Calculated values
- Energy relative to the elements: 1.09 eV per atom
- Total magnetization: 0.08 μB per cell

# 7
Material: HfZnPAu2
Method: DFT, GGA-PBE
State: relaxed

Unit cell a=4.739 b=4.739 c=4.476 alpha=90.00 beta=90.00 gamma=90.00
Space group P4/mmm (No. 123)
Unique sites:
Hf1 0.000 0.000 0.000 [1 per cell]
Zn1 0.500 0.500 0.000 [1 per cell]
P1 0.500 0.500 0.500 [1 per cell]
Au1 0.000 0.500 0.500 [2 per cell]

Calculated values
- Energy relative to the elements: 0.45 eV per atom
- Total magnetization: 0.00 μB per cell

# 8
Material: HfPa2Au
Method: DFT, GGA-PBE
State: relaxed

Unit cell a=4.205 b=4.205 c=5.053 alpha=90.00 beta=90.00 gamma=90.00
Space group P4/mmm (No. 123)
Unique sites:
Hf1 0.000 0.000 0.000 [1 per cell]
Pa1 0.000 0.500 0.500 [2 per cell]
Au1 0.500 0.500 0.000 [1 per cell]

Calculated values
- Excess energy over the best structure of this formula in the dataset: 0.041 eV per atom
- Energy relative to the elements: -0.09 eV per atom
- Total magnetization: 0.00 μB per cell

# 9
Material: Hf2PaAu
Method: DFT, GGA-PBE
State: relaxed

Unit cell a=4.627 b=4.627 c=4.021 alpha=90.00 beta=90.00 gamma=90.00
Space group P4/mmm (No. 123)
Unique sites:
Hf1 0.000 0.500 0.000 [2 per cell]
Pa1 0.000 0.000 0.500 [1 per cell]
Au1 0.500 0.500 0.500 [1 per cell]

Calculated values
- Excess energy over the best structure of this formula in the dataset: 0.124 eV per atom
- Energy relative to the elements: -0.09 eV per atom
- Total magnetization: 0.00 μB per cell

# 10
Material: HfPa2Au
Method: DFT, GGA-PBE
State: relaxed

Unit cell a=3.870 b=3.870 c=6.418 alpha=90.00 beta=90.00 gamma=90.00
Space group P4/mmm (No. 123)
Unique sites:
Hf1 0.000 0.000 0.000 [1 per cell]
Pa1 0.500 0.500 0.274 [2 per cell]
Au1 0.000 0.000 0.500 [1 per cell]

Calculated values
- Excess energy over the best structure of this formula in the dataset: 0.240 eV per atom
- Energy relative to the elements: 0.11 eV per atom
- Total magnetization: 0.00 μB per cell

# 11
Material: HfPa2Au
Method: DFT, GGA-PBE
State: relaxed

Unit cell a=3.147 b=3.147 c=9.211 alpha=90.00 beta=90.00 gamma=90.00
Space group P4mm (No. 99)
Unique sites:
Hf1 0.000 0.000 0.000 [1 per cell]
Pa1 0.000 0.000 0.464 [1 per cell]
Pa2 0.500 0.500 0.742 [1 per cell]
Au1 0.500 0.500 0.207 [1 per cell]

Calculated values
- Excess energy over the best structure of this formula in the dataset: 0.000 eV per atom
- Energy relative to the elements: -0.13 eV per atom
- Total magnetization: 0.00 μB per cell

# 12
Material: Hf2PaAu
Method: DFT, GGA-PBE
State: relaxed

Unit cell a=3.212 b=3.212 c=8.533 alpha=90.00 beta=90.00 gamma=90.00
Space group P4/mmm (No. 123)
Unique sites:
Hf1 0.000 0.000 0.224 [2 per cell]
Pa1 0.500 0.500 0.500 [1 per cell]
Au1 0.500 0.500 0.000 [1 per cell]

Calculated values
- Excess energy over the best structure of this formula in the dataset: 0.000 eV per atom
- Energy relative to the elements: -0.21 eV per atom
- Total magnetization: 0.00 μB per cell